## ScWNF2 (PBE+U)

Data for ScWNF2 after structural relaxation.

Structure (POSCAR):
```
ScWNF2
1.0
-3.0283 2.1554 1.2990
-2.3971 -3.0894 -0.4623
0.8901 -1.3318 4.2849
F Sc W N
2 1 1 1
Cartesian
-1.1986 -1.5447 -0.2312
-1.5142 1.0777 0.6495
0.0000 0.0000 0.0000
-2.2677 -1.1329 2.5608
0.4450 -0.6659 2.1424
```

Properties
Relative energy among the computed polymorphs: 0.0 meV per atom
Crystal system: tetragonal
Total moment: 4.00 μB/cell
Space group: P4/mmm
Calculated density: 6.574 g cm⁻³